The following is a DFT calculation (PBE) of a relaxed structure of SrRe2O.

Computed properties:
Formation energy without anion corrections in kJ per mole of atoms: 51.5

Lattice parameters (Å, degrees): 7.454 7.454 7.454 139.95 139.95 57.93
Positions (direct):
Sr1 0.375 0.625 0.750
Sr2 0.625 0.375 0.250
Re1 0.000 0.000 0.000
Re2 0.000 0.000 0.500
Re3 0.000 0.500 0.000
Re4 0.500 0.000 0.500
O1 0.125 0.875 0.250
O2 0.875 0.125 0.750